Record 1
## BaCaRe2 (PBE-GGA)

Data for an optimized crystal structure of BaCaRe2.

## Properties
- Magnetic moment: 0.000 μB per cell
- ΔE to the lowest computed polymorph: 4.081 eV per formula unit
- Energy of formation from the pure elements: 1.372 eV/atom

Lattice parameters (Å, degrees): 11.186 11.186 11.186 15.46 15.46 15.46
Sites, in units of the cell vectors:
Re 0.007 0.007 0.007
Re 0.493 0.493 0.493
Ca 0.750 0.750 0.750
Ba 0.250 0.250 0.250

Record 2
## TiZnRh2 (PBE-GGA)

Data for an optimized crystal structure of TiZnRh2.

## Properties
- Magnetic moment: 0.000 μB per cell
- Energy of formation from the pure elements: -0.246 eV/atom

Lattice parameters (Å, degrees): 6.688 6.688 5.511 52.64 52.64 90.00
Sites, in units of the cell vectors:
Zn 0.000 0.000 0.000
Zn 0.750 0.250 0.500
Rh 0.609 0.125 0.250
Rh 0.141 0.625 0.250
Rh 0.375 0.391 0.750
Rh 0.875 0.859 0.750
Ti 0.500 0.500 0.000
Ti 0.250 0.750 0.500

Record 3
## CeAgHgGe (PBE-GGA)

Data for an optimized crystal structure of CeAgHgGe.

## Properties
- Magnetic moment: 0.872 μB per cell
- Energy of formation from the pure elements: -0.299 eV/atom

Lattice parameters (Å, degrees): 5.031 5.031 5.031 60.00 60.00 60.00
Each line ends with the local moment (μB).
Sites, in units of the cell vectors:
Ag 0.250 0.250 0.250  0.01
Ge 0.500 0.500 0.500  0.00
Hg 0.000 0.000 0.000  0.01
Ce 0.750 0.750 0.750  0.74